Record 1
The following is a PBE calculation of a relaxed Tl3InPd6 crystal, from the Alexandria database.

Calculated values
M_tot   0.000 μB/cell
DFT formation energy   -241 meV per atom

Lattice parameters (Å, degrees): 9.056 4.222 10.181 90.00 102.82 90.00
Space group P2_1/m (No. 11)
Asymmetric unit:
Tl 0.045 0.250 0.392 [2 per cell]
Tl 0.079 0.750 0.140 [2 per cell]
Tl 0.338 0.250 0.963 [2 per cell]
In 0.458 0.250 0.605 [2 per cell]
Pd 0.131 0.750 0.868 [2 per cell]
Pd 0.179 0.250 0.679 [2 per cell]
Pd 0.258 0.750 0.500 [2 per cell]
Pd 0.333 0.250 0.325 [2 per cell]
Pd 0.378 0.750 0.140 [2 per cell]
Pd 0.403 0.750 0.785 [2 per cell]

Record 2
The following is a PBE calculation of a relaxed TlInPd4 crystal, from the Alexandria database.

Calculated values
M_tot   0.000 μB/cell
DFT formation energy   -288 meV per atom

Lattice parameters (Å, degrees): 7.723 3.060 17.919 90.00 90.00 90.00
Space group Pnma (No. 62)
Asymmetric unit:
Tl 0.236 0.250 0.057 [4 per cell]
In 0.249 0.750 0.309 [4 per cell]
Pd 0.043 0.750 0.432 [4 per cell]
Pd 0.066 0.750 0.701 [4 per cell]
Pd 0.099 0.750 0.174 [4 per cell]
Pd 0.126 0.750 0.930 [4 per cell]

Record 3
The following is a PBE calculation of a relaxed TlIn4Pd15 crystal, from the Alexandria database.

Calculated values
M_tot   0.000 μB/cell
DFT formation energy   -377 meV per atom

Lattice parameters (Å, degrees): 4.030 4.030 20.423 90.00 90.00 90.00
Space group P4/mmm (No. 123)
Asymmetric unit:
Tl 0.000 0.000 0.000 [1 per cell]
In 0.000 0.000 0.202 [2 per cell]
In 0.000 0.000 0.401 [2 per cell]
Pd 0.000 0.500 0.103 [4 per cell]
Pd 0.000 0.500 0.301 [4 per cell]
Pd 0.000 0.500 0.500 [2 per cell]
Pd 0.500 0.500 0.000 [1 per cell]
Pd 0.500 0.500 0.202 [2 per cell]
Pd 0.500 0.500 0.401 [2 per cell]

Record 4
The following is a PBE calculation of a relaxed TlIn2Pd crystal, from the Alexandria database.

Calculated values
M_tot   0.000 μB/cell
DFT formation energy   -200 meV per atom

Lattice parameters (Å, degrees): 3.287 3.287 8.751 90.00 90.00 90.00
Space group P4/mmm (No. 123)
Asymmetric unit:
Tl 0.000 0.000 0.000 [1 per cell]
In 0.500 0.500 0.307 [2 per cell]
Pd 0.000 0.000 0.500 [1 per cell]

Record 5
The following is a PBE calculation of a relaxed Tl5In2Pd12 crystal, from the Alexandria database.

Calculated values
M_tot   0.000 μB/cell
DFT formation energy   -212 meV per atom

Lattice parameters (Å, degrees): 13.551 8.622 6.035 90.00 95.96 90.00
Space group C2/m (No. 12)
Asymmetric unit:
Tl 0.000 0.000 0.000 [2 per cell]
Tl 0.168 0.500 0.425 [4 per cell]
Tl 0.244 0.000 0.030 [4 per cell]
In 0.000 0.228 0.500 [4 per cell]
Pd 0.040 0.500 0.769 [4 per cell]
Pd 0.099 0.274 0.105 [8 per cell]
Pd 0.129 0.000 0.400 [4 per cell]
Pd 0.196 0.240 0.706 [8 per cell]

Record 6
The following is a PBE calculation of a relaxed TlVIn2Pd crystal, from the Alexandria database.

Calculated values
M_tot   4.040 μB/cell
DFT formation energy   553 meV per atom

Lattice parameters (Å, degrees): 5.140 5.140 5.249 90.00 90.00 90.00
Space group P4/mmm (No. 123)
Asymmetric unit:
Tl 0.000 0.000 0.000 [1 per cell]
V 0.500 0.500 0.000 [1 per cell]
In 0.000 0.500 0.500 [2 per cell]
Pd 0.000 0.000 0.500 [1 per cell]

Record 7
The following is a PBE calculation of a relaxed Y3Tl2In3Pd crystal, from the Alexandria database.

Calculated values
M_tot   0.000 μB/cell
DFT formation energy   -512 meV per atom

Lattice parameters (Å, degrees): 7.5682 7.5682 4.4839 90.00 90.00 120.00
Space group P-62m (No. 189)
Asymmetric unit:
Y 0.0000 0.4017 0.0000 [3 per cell]
Tl 0.3333 0.6667 0.5000 [2 per cell]
In 0.0000 0.7632 0.5000 [3 per cell]
Pd 0.0000 0.0000 0.0000 [1 per cell]

Record 8
The following is a PBE calculation of a relaxed Tm2In2Pd5 crystal, from the Alexandria database.

Calculated values
M_tot   0.000 μB/cell
DFT formation energy   -601 meV per atom

Lattice parameters (Å, degrees): 13.862 6.112 8.450 90.00 90.00 90.00
Space group Ima2 (No. 46)
Asymmetric unit:
Tm 0.126 0.030 0.000 [8 per cell]
In 0.000 0.000 0.577 [4 per cell]
In 0.250 0.527 0.962 [4 per cell]
Pd 0.052 0.185 0.288 [8 per cell]
Pd 0.149 0.730 0.236 [8 per cell]
Pd 0.250 0.196 0.741 [4 per cell]

Record 9
The following is a PBE calculation of a relaxed Tm6In3Pd crystal, from the Alexandria database.

Calculated values
M_tot   0.000 μB/cell
DFT formation energy   -431 meV per atom

Lattice parameters (Å, degrees): 9.077 5.224 11.443 90.00 108.72 90.00
Space group P2_1/m (No. 11)
Asymmetric unit:
Tm 0.041 0.250 0.418 [2 per cell]
Tm 0.181 0.750 0.168 [2 per cell]
Tm 0.271 0.250 0.005 [2 per cell]
Tm 0.351 0.750 0.823 [2 per cell]
Tm 0.364 0.250 0.336 [2 per cell]
Tm 0.402 0.250 0.639 [2 per cell]
In 0.018 0.750 0.878 [2 per cell]
In 0.108 0.250 0.718 [2 per cell]
In 0.278 0.750 0.473 [2 per cell]
Pd 0.460 0.750 0.100 [2 per cell]

Record 10
The following is a PBE calculation of a relaxed Tm2InPd6 crystal, from the Alexandria database.

Calculated values
M_tot   0.000 μB/cell
DFT formation energy   -608 meV per atom

Lattice parameters (Å, degrees): 7.375 14.274 3.273 90.00 90.00 90.00
Space group Cmmm (No. 65)
Asymmetric unit:
Tm 0.000 0.190 0.000 [4 per cell]
In 0.000 0.500 0.500 [2 per cell]
Pd 0.192 0.000 0.000 [4 per cell]
Pd 0.196 0.341 0.500 [8 per cell]

Record 11
The following is a PBE calculation of a relaxed Tm3InPd crystal, from the Alexandria database.

Calculated values
M_tot   0.010 μB/cell
DFT formation energy   -462 meV per atom

Lattice parameters (Å, degrees): 7.193 7.193 7.193 90.00 90.00 90.00
Space group Pm-3m (No. 221)
Asymmetric unit:
Tm 0.000 0.000 0.000 [1 per cell]
Tm 0.268 0.268 0.268 [8 per cell]
In 0.000 0.000 0.500 [3 per cell]
Pd 0.000 0.500 0.500 [3 per cell]

Record 12
The following is a PBE calculation of a relaxed Tm2InPd crystal, from the Alexandria database.

Calculated values
M_tot   0.000 μB/cell
DFT formation energy   -518 meV per atom

Lattice parameters (Å, degrees): 3.7188 3.7188 25.6576 90.00 90.00 120.00
Space group R-3m (No. 166, hexagonal axes)
Asymmetric unit:
Tm 0.0000 0.0000 0.2379 [6 per cell]
In 0.0000 0.0000 0.0000 [3 per cell]
Pd 0.0000 0.0000 0.5000 [3 per cell]